# Tl3HgBi3Se8

A geometry-optimized Tl3HgBi3Se8 structure (PBE, Alexandria).

```
data_Tl3HgBi3Se8
_chemical_formula_sum 'Tl6 Hg2 Bi6 Se16'
_space_group_name_H-M_alt 'C 1 2/m 1'
_space_group_IT_number 12
_space_group_name_Hall '-C 2y'
_cell_length_a 14.633
_cell_length_b 8.459
_cell_length_c 8.825
_cell_angle_alpha 90.00
_cell_angle_beta 123.50
_cell_angle_gamma 90.00
loop_
_atom_site_label
_atom_site_type_symbol
_atom_site_fract_x
_atom_site_fract_y
_atom_site_fract_z
_atom_site_occupancy
Tl1 Tl 0.000 0.000 0.000 1
Tl2 Tl 0.250 0.250 0.000 1
Hg1 Hg 0.000 0.000 0.500 1
Bi1 Bi 0.000 0.500 0.500 1
Bi2 Bi 0.250 0.250 0.500 1
Se1 Se 0.007 0.246 0.276 1
Se2 Se 0.238 0.000 0.723 1
Se3 Se 0.243 0.500 0.729 1
```

Output
Uncorrected energy: -3.413 eV per atom
Uncorrected formation energy: -0.29 eV/atom
Density: 7.6 Mg/m³
V: 910.9 Å³/cell

=====

# Fe2Te

A geometry-optimized Fe2Te structure (PBE, Alexandria).

```
data_Fe2Te
_chemical_formula_sum 'Fe8 Te4'
_space_group_name_H-M_alt 'C 1 2/m 1'
_space_group_IT_number 12
_space_group_name_Hall '-C 2y'
_cell_length_a 9.276
_cell_length_b 3.477
_cell_length_c 7.023
_cell_angle_alpha 90.00
_cell_angle_beta 121.68
_cell_angle_gamma 90.00
loop_
_atom_site_label
_atom_site_type_symbol
_atom_site_fract_x
_atom_site_fract_y
_atom_site_fract_z
_atom_site_occupancy
Fe1 Fe 0.154 0.000 0.190 1
Fe2 Fe 0.158 0.000 0.543 1
Te1 Te 0.056 0.500 0.791 1
```

Output
Uncorrected energy: -6.431 eV per atom
Uncorrected formation energy: 0.26 eV/atom
Density: 8.2 Mg/m³
V: 192.8 Å³/cell

=====

# LaPm2Pr5Y

A geometry-optimized LaPm2Pr5Y structure (PBE, Alexandria).

```
data_LaPm2Pr5Y
_chemical_formula_sum 'La4 Pm8 Pr20 Y4'
_space_group_name_H-M_alt 'I 4/m c m'
_space_group_IT_number 140
_space_group_name_Hall '-I 4 2c'
_cell_length_a 9.093
_cell_length_b 9.093
_cell_length_c 15.694
_cell_angle_alpha 90.00
_cell_angle_beta 90.00
_cell_angle_gamma 90.00
loop_
_atom_site_label
_atom_site_type_symbol
_atom_site_fract_x
_atom_site_fract_y
_atom_site_fract_z
_atom_site_occupancy
La1 La 0.000 0.000 0.250 1
Pm1 Pm 0.115 0.385 0.000 1
Pr1 Pr 0.000 0.000 0.000 1
Pr2 Pr 0.209 0.291 0.363 1
Y1 Y 0.000 0.500 0.250 1
```

Output
Energy of formation: 0.264 eV per atom
Uncorrected energy: -4.713 eV per atom
Density: 6.3 Mg/m³
V: 1297.7 Å³/cell

=====

# CuAg2SeCl2

A geometry-optimized CuAg2SeCl2 structure (PBE, Alexandria).

```
data_CuAg2SeCl2
_chemical_formula_sum 'Cu4 Ag8 Se4 Cl8'
_space_group_name_H-M_alt 'C m c 21'
_space_group_IT_number 36
_space_group_name_Hall 'C 2c -2'
_cell_length_a 11.835
_cell_length_b 7.654
_cell_length_c 6.337
_cell_angle_alpha 90.00
_cell_angle_beta 90.00
_cell_angle_gamma 90.00
loop_
_atom_site_label
_atom_site_type_symbol
_atom_site_fract_x
_atom_site_fract_y
_atom_site_fract_z
_atom_site_occupancy
Cu1 Cu 0.000 0.201 0.000 1
Ag1 Ag 0.128 0.288 0.429 1
Se1 Se 0.000 0.083 0.642 1
Cl1 Cl 0.163 0.371 0.035 1
```

Output
Uncorrected energy: -3.116 eV per atom
Uncorrected formation energy: -0.29 eV/atom
Density: 5.0 Mg/m³
V: 574.0 Å³/cell

=====

# Pm2Nd3Sm6Pu

A geometry-optimized Pm2Nd3Sm6Pu structure (PBE, Alexandria).

```
data_Pm2Nd3Sm6Pu
_chemical_formula_sum 'Pm4 Nd6 Sm12 Pu2'
_space_group_name_H-M_alt 'C 1 2/m 1'
_space_group_IT_number 12
_space_group_name_Hall '-C 2y'
_cell_length_a 6.291
_cell_length_b 10.915
_cell_length_c 11.986
_cell_angle_alpha 90.00
_cell_angle_beta 100.20
_cell_angle_gamma 90.00
loop_
_atom_site_label
_atom_site_type_symbol
_atom_site_fract_x
_atom_site_fract_y
_atom_site_fract_z
_atom_site_occupancy
Pm1 Pm 0.000 0.167 0.000 1
Nd1 Nd 0.000 0.000 0.500 1
Nd2 Nd 0.000 0.334 0.500 1
Sm1 Sm 0.246 0.336 0.246 1
Sm2 Sm 0.247 0.500 0.754 1
Pu1 Pu 0.000 0.500 0.000 1
```

Output
Energy of formation: 0.051 eV per atom
Uncorrected energy: -5.487 eV per atom
Density: 7.7 Mg/m³
V: 810.0 Å³/cell

=====

# H3AuSeF

A geometry-optimized H3AuSeF structure (PBE, Alexandria).

```
data_H3AuSeF
_chemical_formula_sum 'H3 Au1 Se1 F1'
_space_group_name_H-M_alt 'P 1'
_space_group_IT_number 1
_space_group_name_Hall 'P 1'
_cell_length_a 2.835
_cell_length_b 4.652
_cell_length_c 8.602
_cell_angle_alpha 91.93
_cell_angle_beta 96.15
_cell_angle_gamma 90.88
loop_
_atom_site_label
_atom_site_type_symbol
_atom_site_fract_x
_atom_site_fract_y
_atom_site_fract_z
_atom_site_occupancy
H1 H 0.000 0.000 0.000 1
H2 H 0.157 0.078 0.950 1
H3 H 0.376 0.513 0.172 1
Au1 Au 0.306 0.974 0.543 1
Se1 Se 0.338 0.480 0.639 1
F1 F 0.707 0.556 0.177 1
```

Output
Polymorph energy (0 for the lowest one): 0.0000 eV/atom
Uncorrected energy: -3.548 eV per atom
Density: 4.4 Mg/m³
V: 112.7 Å³/cell

=====

# La2Y9Ho

A geometry-optimized La2Y9Ho structure (PBE, Alexandria).

```
data_La2Y9Ho
_chemical_formula_sum 'La2 Y9 Ho1'
_space_group_name_H-M_alt 'P 4/m m m'
_space_group_IT_number 123
_space_group_name_Hall '-P 4 2'
_cell_length_a 5.090
_cell_length_b 5.090
_cell_length_c 15.299
_cell_angle_alpha 90.00
_cell_angle_beta 90.00
_cell_angle_gamma 90.00
loop_
_atom_site_label
_atom_site_type_symbol
_atom_site_fract_x
_atom_site_fract_y
_atom_site_fract_z
_atom_site_occupancy
La1 La 0.000 0.000 0.167 1
Y1 Y 0.000 0.500 0.000 1
Y2 Y 0.000 0.500 0.337 1
Y3 Y 0.500 0.500 0.169 1
Y4 Y 0.500 0.500 0.500 1
Ho1 Ho 0.000 0.000 0.500 1
```

Output
Energy of formation: 0.032 eV per atom
Uncorrected energy: -6.019 eV per atom
Density: 5.2 Mg/m³
V: 396.3 Å³/cell

=====

# Mg2ZnNi

A geometry-optimized Mg2ZnNi structure (PBE, Alexandria).

```
data_Mg2ZnNi
_chemical_formula_sum 'Mg2 Zn1 Ni1'
_space_group_name_H-M_alt 'P m m m'
_space_group_IT_number 47
_space_group_name_Hall '-P 2 2'
_cell_length_a 3.096
_cell_length_b 3.126
_cell_length_c 6.576
_cell_angle_alpha 90.00
_cell_angle_beta 90.00
_cell_angle_gamma 90.00
loop_
_atom_site_label
_atom_site_type_symbol
_atom_site_fract_x
_atom_site_fract_y
_atom_site_fract_z
_atom_site_occupancy
Mg1 Mg 0.000 0.000 0.226 1
Zn1 Zn 0.500 0.500 0.500 1
Ni1 Ni 0.500 0.500 0.000 1
```

Output
Energy of formation: -0.135 eV per atom
Uncorrected energy: -2.696 eV per atom
Density: 4.5 Mg/m³
V: 63.6 Å³/cell

=====

> uncorrected energy of number 7 (La2Y9Ho)?

-6.019 eV per atom

=====

What did the third record say?
# LaPm2Pr5Y

A geometry-optimized LaPm2Pr5Y structure (PBE, Alexandria).

```
data_LaPm2Pr5Y
_chemical_formula_sum 'La4 Pm8 Pr20 Y4'
_space_group_name_H-M_alt 'I 4/m c m'
_space_group_IT_number 140
_space_group_name_Hall '-I 4 2c'
_cell_length_a 9.093
_cell_length_b 9.093
_cell_length_c 15.694
_cell_angle_alpha 90.00
_cell_angle_beta 90.00
_cell_angle_gamma 90.00
loop_
_atom_site_label
_atom_site_type_symbol
_atom_site_fract_x
_atom_site_fract_y
_atom_site_fract_z
_atom_site_occupancy
La1 La 0.000 0.000 0.250 1
Pm1 Pm 0.115 0.385 0.000 1
Pr1 Pr 0.000 0.000 0.000 1
Pr2 Pr 0.209 0.291 0.363 1
Y1 Y 0.000 0.500 0.250 1
```

Output
Energy of formation: 0.264 eV per atom
Uncorrected energy: -4.713 eV per atom
Density: 6.3 Mg/m³
V: 1297.7 Å³/cell

=====

Copy entry 7 word for word.
# La2Y9Ho

A geometry-optimized La2Y9Ho structure (PBE, Alexandria).

```
data_La2Y9Ho
_chemical_formula_sum 'La2 Y9 Ho1'
_space_group_name_H-M_alt 'P 4/m m m'
_space_group_IT_number 123
_space_group_name_Hall '-P 4 2'
_cell_length_a 5.090
_cell_length_b 5.090
_cell_length_c 15.299
_cell_angle_alpha 90.00
_cell_angle_beta 90.00
_cell_angle_gamma 90.00
loop_
_atom_site_label
_atom_site_type_symbol
_atom_site_fract_x
_atom_site_fract_y
_atom_site_fract_z
_atom_site_occupancy
La1 La 0.000 0.000 0.167 1
Y1 Y 0.000 0.500 0.000 1
Y2 Y 0.000 0.500 0.337 1
Y3 Y 0.500 0.500 0.169 1
Y4 Y 0.500 0.500 0.500 1
Ho1 Ho 0.000 0.000 0.500 1
```

Output
Energy of formation: 0.032 eV per atom
Uncorrected energy: -6.019 eV per atom
Density: 5.2 Mg/m³
V: 396.3 Å³/cell

=====

> Which of these has the highest V?

LaPm2Pr5Y